[1]
Density functional theory data (PBE) for a relaxed BaLaAsI crystal.

Unit cell a=4.523 b=4.523 c=8.733 alpha=90.00 beta=105.01 gamma=120.00
Atoms (fractional coordinates):
Ba (0.500, 0.148, 0.664)
I (0.953, 0.374, 0.342)
La (0.104, 0.950, 0.070)
As (0.320, 0.558, 0.894)

Space group: R3m (160)
Uncorrected formation energy: -1395 meV per atom

[2]
Density functional theory data (PBE) for a relaxed CeDyP2Ir5 crystal.

Unit cell a=4.033 b=4.033 c=11.012 alpha=90.00 beta=90.00 gamma=90.00
Site moments in Bohr magnetons follow the coordinates.
Atoms (fractional coordinates):
P (0.500, 0.500, 0.291)  0.00
P (0.500, 0.500, 0.709)  0.00
Ir (0.500, 0.000, 0.804)  0.00
Ir (0.000, 0.500, 0.196)  0.00
Ir (0.000, 0.500, 0.804)  0.00
Ir (0.500, 0.000, 0.196)  0.00
Ir (0.500, 0.500, 0.500)  -0.04
Dy (0.000, 0.000, 0.000)  0.00
Ce (0.000, 0.000, 0.500)  0.65

Space group: P4/mmm (123)
Formation energy: -0.6468 eV/atom

[3]
Density functional theory data (PBE) for a relaxed BeReOs crystal.

Unit cell a=4.038 b=4.038 c=4.038 alpha=60.00 beta=60.00 gamma=60.00
Atoms (fractional coordinates):
Os (0.750, 0.750, 0.750)
Re (0.000, 0.000, 0.000)
Be (0.500, 0.500, 0.500)

Space group: F-43m (216)
Formation energy: 0.3705 eV/atom
Energy relative to the lowest polymorph listed for this composition: 547 meV/atom

[4]
Density functional theory data (PBE) for a relaxed Ho5Pb2N crystal.

Unit cell a=4.677 b=8.788 c=12.200 alpha=90.00 beta=90.00 gamma=105.43
Atoms (fractional coordinates):
Ho (0.730, 0.460, 0.250)
Ho (0.887, 0.774, 0.885)
Ho (0.113, 0.226, 0.115)
Ho (0.304, 0.609, 0.417)
Ho (0.304, 0.609, 0.083)
Ho (0.113, 0.226, 0.385)
Ho (0.887, 0.774, 0.615)
Ho (0.696, 0.391, 0.917)
Ho (0.270, 0.540, 0.750)
Ho (0.696, 0.391, 0.583)
N (0.784, 0.567, 0.750)
N (0.216, 0.433, 0.250)
Pb (0.928, 0.855, 0.130)
Pb (0.928, 0.855, 0.370)
Pb (0.072, 0.145, 0.630)
Pb (0.072, 0.145, 0.870)

Space group: Cmcm (63)
Uncorrected formation energy: -274 meV per atom

[5]
Density functional theory data (PBE) for a relaxed SrCa2Co crystal.

Unit cell a=5.590 b=5.590 c=5.590 alpha=60.00 beta=60.00 gamma=60.00
Site moments in Bohr magnetons follow the coordinates.
Atoms (fractional coordinates):
Co (0.500, 0.500, 0.500)  1.24
Ca (0.000, 0.000, 0.000)  -0.05
Ca (0.250, 0.250, 0.250)  -0.05
Sr (0.750, 0.750, 0.750)  -0.04

Space group: F-43m (216)
Formation energy: 0.5181 eV/atom
Energy relative to the lowest polymorph listed for this composition: 264 meV/atom

[6]
Density functional theory data (PBE) for a relaxed Ti3FeAg crystal.

Unit cell a=4.495 b=4.495 c=4.495 alpha=90.00 beta=90.00 gamma=90.00
Site moments in Bohr magnetons follow the coordinates.
Atoms (fractional coordinates):
Ti (0.000, 0.500, 0.000)  0.35
Ti (0.000, 0.000, 0.500)  0.23
Ti (0.500, 0.000, 0.000)  0.57
Ag (0.500, 0.500, 0.500)  0.02
Fe (0.000, 0.000, 0.000)  -0.14

Space group: Pm-3m (221)
Formation energy: 0.3060 eV/atom
Energy relative to the lowest polymorph listed for this composition: 0 meV/atom

[7]
Density functional theory data (PBE) for a relaxed LiMgV crystal.

Unit cell a=4.405 b=5.925 c=4.404 alpha=87.71 beta=65.96 gamma=87.71
Atoms (fractional coordinates):
V (0.892, 0.213, 0.982)
V (0.648, 0.318, 0.738)
Li (0.941, 0.678, 0.031)
Li (0.242, 0.037, 0.332)
Mg (0.288, 0.497, 0.379)
Mg (0.598, 0.848, 0.688)

Space group: Cm (8)
Formation energy: 0.3285 eV/atom
Energy relative to the lowest polymorph listed for this composition: 110 meV/atom